Record 1
Entry from Alexandria via LeMat-Bulk: an optimized crystal structure of MoN3Cl (GGA-PBEsol).

- electronic total energy (eV per atom) = -5.62

abc: 3.6068 3.6068 3.6068
angles: 90.00 90.00 90.00
Element x y z (fractional)
Mo: 0.0000 0.0000 0.0000
N: 0.0000 0.5000 0.5000
N: 0.5000 0.0000 0.5000
N: 0.5000 0.5000 0.0000
Cl: 0.5000 0.5000 0.5000

Record 2
Entry from Alexandria via LeMat-Bulk: an optimized crystal structure of MoNCl3 (GGA-PBEsol).

- energy above the lowest structure with this stoichiometry (meV per atom) = 0

abc: 8.1130 8.1590 9.0682
angles: 109.38 98.56 109.77
Element x y z (fractional)
Mo: 0.0540 0.0077 0.2242
Mo: 0.3592 0.1257 0.6295
Mo: 0.6408 0.8743 0.3705
Mo: 0.9460 0.9923 0.7758
N: 0.1740 0.0618 0.6948
N: 0.2103 0.0484 0.3914
N: 0.7897 0.9516 0.6086
N: 0.8260 0.9382 0.3052
Cl: 0.0477 0.3008 0.3083
Cl: 0.0579 0.3171 0.9057
Cl: 0.2318 0.0652 0.0534
Cl: 0.3551 0.8160 0.5175
Cl: 0.3954 0.4239 0.6586
Cl: 0.4135 0.7769 0.1417
Cl: 0.5865 0.2231 0.8583
Cl: 0.6046 0.5761 0.3414
Cl: 0.6449 0.1840 0.4825
Cl: 0.7682 0.9348 0.9466
Cl: 0.9421 0.6829 0.0943
Cl: 0.9523 0.6992 0.6917

Record 3
Entry from Alexandria via LeMat-Bulk: an optimized crystal structure of MoNCl3 (GGA-PBEsol).

- energy above the lowest structure with this stoichiometry (meV per atom) = 1343

abc: 4.7141 4.7141 4.7141
angles: 90.00 90.00 90.00
Element x y z (fractional)
Mo: 0.0000 0.0000 0.0000
N: 0.5000 0.5000 0.5000
Cl: 0.0000 0.0000 0.5000
Cl: 0.0000 0.5000 0.0000
Cl: 0.5000 0.0000 0.0000

Record 4
Entry from Alexandria via LeMat-Bulk: an optimized crystal structure of TeMoN2Cl (GGA-PBEsol).

- electronic total energy (eV per atom) = -4.57

abc: 3.9416 3.9416 4.9702
angles: 90.00 90.00 90.00
Element x y z (fractional)
Te: 0.0000 0.0000 0.0000
Mo: 0.5000 0.5000 0.0000
N: 0.0000 0.5000 0.5000
N: 0.5000 0.0000 0.5000
Cl: 0.0000 0.0000 0.5000

Record 5
Entry from Alexandria via LeMat-Bulk: an optimized crystal structure of NbMoP2Cl (GGA-PBEsol).

- electronic total energy (eV per atom) = -6.48

abc: 4.6288 4.6288 4.6217
angles: 90.00 90.00 90.00
Element x y z (fractional)
Nb: 0.0000 0.0000 0.0000
Mo: 0.5000 0.5000 0.5000
P: 0.0000 0.5000 0.5000
P: 0.5000 0.0000 0.5000
Cl: 0.5000 0.5000 0.0000

Record 6
Entry from Alexandria via LeMat-Bulk: an optimized crystal structure of NbMoSCl2 (GGA-PBEsol).

- electronic total energy (eV per atom) = -5.66

abc: 4.7097 4.7097 4.6389
angles: 90.00 90.00 90.00
Element x y z (fractional)
Nb: 0.0000 0.0000 0.0000
Mo: 0.5000 0.5000 0.5000
S: 0.5000 0.5000 0.0000
Cl: 0.0000 0.5000 0.5000
Cl: 0.5000 0.0000 0.5000

Record 7
Entry from Alexandria via LeMat-Bulk: an optimized crystal structure of Nb2MoWCl (GGA-PBEsol).

- electronic total energy (eV per atom) = -7.97

abc: 4.9358 4.9358 4.3741
angles: 90.00 90.00 90.00
Element x y z (fractional)
Nb: 0.0000 0.5000 0.0000
Nb: 0.5000 0.0000 0.0000
Mo: 0.0000 0.0000 0.5000
W: 0.5000 0.5000 0.0000
Cl: 0.5000 0.5000 0.5000

Record 8
Entry from Alexandria via LeMat-Bulk: an optimized crystal structure of Nd5Te7MoCl3O23 (GGA-PBEsol).

- electronic total energy (eV per atom) = -6.84

abc: 9.7879 9.7879 18.1590
angles: 92.71 92.71 134.27
Element x y z (fractional)
Nd: 0.0000 0.0000 0.0000
Nd: 0.0113 0.7216 0.3624
Nd: 0.0582 0.0611 0.2378
Nd: 0.2331 0.4992 0.3626
Nd: 0.2784 0.9887 0.6376
Nd: 0.4551 0.4238 0.7629
Nd: 0.5008 0.7669 0.6374
Nd: 0.5108 0.4892 0.0000
Nd: 0.5762 0.5449 0.2371
Nd: 0.9389 0.9418 0.7622
Te: 0.0520 0.2052 0.6090
Te: 0.1211 0.3984 0.1410
Te: 0.1530 0.4064 0.8843
Te: 0.3596 0.0837 0.1135
Te: 0.3931 0.0926 0.8609
Te: 0.4589 0.2827 0.3914
Te: 0.5936 0.8470 0.1157
Te: 0.6016 0.8789 0.8590
Te: 0.7173 0.5411 0.6086
Te: 0.7537 0.2444 0.2632
Te: 0.7556 0.2463 0.7368
Te: 0.7948 0.9480 0.3910
Te: 0.9074 0.6069 0.1391
Te: 0.9163 0.6404 0.8865
Mo: 0.0214 0.5097 0.5237
Mo: 0.4903 0.9786 0.4763
Cl: 0.0566 0.9434 0.5000
Cl: 0.1910 0.6793 0.7895
Cl: 0.2562 0.7438 0.0000
Cl: 0.3207 0.8090 0.2105
Cl: 0.4553 0.5447 0.5000
Cl: 0.7222 0.2778 0.0000
O: 0.0509 0.1673 0.1134
O: 0.0607 0.3863 0.4707
O: 0.0742 0.8865 0.1077
O: 0.1135 0.9258 0.8923
O: 0.1569 0.2710 0.8078
O: 0.1710 0.1423 0.6632
O: 0.1741 0.3112 0.9677
O: 0.2328 0.4530 0.6600
O: 0.2388 0.4219 0.2339
O: 0.2429 0.7313 0.5760
O: 0.2687 0.7571 0.4240
O: 0.2722 0.0658 0.7669
O: 0.2774 0.0357 0.3394
O: 0.3307 0.1803 0.0333
O: 0.3423 0.3472 0.3368
O: 0.3530 0.2156 0.1910
O: 0.4000 0.5626 0.1095
O: 0.4374 0.6000 0.8905
O: 0.4503 0.1013 0.5292
O: 0.4546 0.3198 0.8867
O: 0.5177 0.0063 0.6924
O: 0.5470 0.7672 0.3400
O: 0.5756 0.3371 0.6701
O: 0.5781 0.7612 0.7661
O: 0.6137 0.9393 0.5293
O: 0.6406 0.1296 0.4120
O: 0.6510 0.2926 0.8092
O: 0.6528 0.6577 0.6632
O: 0.6629 0.4244 0.3299
O: 0.6802 0.5454 0.1133
O: 0.6888 0.8259 0.0323
O: 0.7074 0.3490 0.1908
O: 0.7290 0.8431 0.1922
O: 0.7844 0.6470 0.8090
O: 0.7991 0.1433 0.8112
O: 0.8197 0.6693 0.9667
O: 0.8327 0.9491 0.8866
O: 0.8492 0.0631 0.6711
O: 0.8567 0.2009 0.1888
O: 0.8577 0.8290 0.3368
O: 0.8704 0.3594 0.5880
O: 0.8987 0.5497 0.4708
O: 0.9342 0.7278 0.2331
O: 0.9369 0.1508 0.3289
O: 0.9643 0.7226 0.6606
O: 0.9937 0.4823 0.3076

Record 9
Entry from Alexandria via LeMat-Bulk: an optimized crystal structure of NiMoCl3 (GGA-PBEsol).

- electronic total energy (eV per atom) = -4.34

abc: 4.7660 4.7660 4.7660
angles: 90.00 90.00 90.00
Element x y z (fractional)
Ni: 0.0000 0.0000 0.0000
Mo: 0.5000 0.5000 0.5000
Cl: 0.0000 0.5000 0.5000
Cl: 0.5000 0.0000 0.5000
Cl: 0.5000 0.5000 0.0000

Record 10
Entry from Alexandria via LeMat-Bulk: an optimized crystal structure of NiMoCl2 (GGA-PBEsol).

- electronic total energy (eV per atom) = -5.15

abc: 2.8607 4.0617 10.9640
angles: 90.00 90.00 90.00
Element x y z (fractional)
Ni: 0.0000 0.0000 0.0000
Ni: 0.5000 0.5000 0.5000
Mo: 0.0000 0.5000 0.3109
Mo: 0.5000 0.0000 0.8109
Cl: 0.0000 0.0000 0.6178
Cl: 0.0000 0.5000 0.8452
Cl: 0.5000 0.0000 0.3452
Cl: 0.5000 0.5000 0.1178

Record 11
Entry from Alexandria via LeMat-Bulk: an optimized crystal structure of NiMoP2Cl (GGA-PBEsol).

- electronic total energy (eV per atom) = -5.50

abc: 4.6103 4.6103 4.7002
angles: 90.00 90.00 90.00
Element x y z (fractional)
Ni: 0.0000 0.0000 0.0000
Mo: 0.5000 0.5000 0.5000
P: 0.0000 0.5000 0.5000
P: 0.5000 0.0000 0.5000
Cl: 0.5000 0.5000 0.0000

Record 12
Entry from Alexandria via LeMat-Bulk: an optimized crystal structure of MoCl4O (GGA-PBEsol).

- electronic total energy (eV per atom) = -5.24

abc: 6.2583 6.9080 7.6434
angles: 103.87 108.96 90.90
Element x y z (fractional)
Mo: 0.0809 0.2577 0.2213
Mo: 0.9191 0.7423 0.7787
Cl: 0.1554 0.9189 0.6868
Cl: 0.1871 0.8509 0.0908
Cl: 0.3358 0.3152 0.0798
Cl: 0.3711 0.2455 0.4871
Cl: 0.6289 0.7545 0.5129
Cl: 0.6642 0.6848 0.9202
Cl: 0.8129 0.1491 0.9092
Cl: 0.8446 0.0811 0.3132
O: 0.0061 0.4859 0.2813
O: 0.9939 0.5141 0.7187

no.,magnetization (μB/atom)
1,0.10
2,0.00
3,0.81
4,0.31
5,0.67
6,0.88
7,0.27
8,0.00
9,0.70
10,0.00
11,0.14
12,0.00